Record 1
12
Lattice="4.048 0.000 0.000 -2.024 3.505 0.000 0.000 0.000 31.277" Properties=species:S:1:pos:R:3 comment="RbSc2Pt | the Alexandria database | PBE-GGA | relaxed" polymorph_energy_mev_per_atom=0 crystal_system=trigonal formation_enthalpy_0k_ev_per_atom=-0.285 pbc="T T T"
Rb 0.000 0.000 0.000
Rb 0.000 2.337 20.851
Rb 2.024 1.168 10.426
Sc 0.000 0.000 3.973
Sc 0.000 0.000 27.304
Sc 0.000 2.337 16.878
Sc 0.000 2.337 24.824
Sc 2.024 1.168 6.453
Sc 2.024 1.168 14.398
Pt 0.000 0.000 15.638
Pt 0.000 2.337 5.213
Pt 2.024 1.168 26.064

=====

Record 2
5
Lattice="4.055 0.000 0.000 0.000 4.055 0.000 0.000 0.000 4.055" Properties=species:S:1:pos:R:3 comment="TlCF3 | the Alexandria database | PBE-GGA | relaxed" polymorph_energy_mev_per_atom=0 crystal_system=cubic e_form_raw_ev_per_atom=-0.343 pbc="T T T"
Tl 0.000 0.000 0.000
C 2.028 2.028 2.028
F 0.000 2.028 2.028
F 2.028 0.000 2.028
F 2.028 2.028 0.000

=====

Record 3
16
Lattice="6.366 0.000 0.000 0.000 6.366 0.000 0.000 0.000 6.366" Properties=species:S:1:pos:R:3 comment="Ta2OsRu | the Alexandria database | PBE-GGA | relaxed" polymorph_energy_mev_per_atom=46 crystal_system=cubic formation_enthalpy_0k_ev_per_atom=-0.273 pbc="T T T"
Ta 1.591 1.591 1.591
Ta 1.591 1.591 4.774
Ta 1.591 4.774 1.591
Ta 1.591 4.774 4.774
Ta 4.774 1.591 1.591
Ta 4.774 1.591 4.774
Ta 4.774 4.774 1.591
Ta 4.774 4.774 4.774
Os 0.000 0.000 0.000
Os 0.000 3.183 3.183
Os 3.183 0.000 3.183
Os 3.183 3.183 0.000
Ru 0.000 0.000 3.183
Ru 0.000 3.183 0.000
Ru 3.183 0.000 0.000
Ru 3.183 3.183 3.183

=====

Record 4
16
Lattice="7.929 0.000 0.000 0.000 7.929 0.000 0.000 0.000 7.929" Properties=species:S:1:pos:R:3 comment="LaEuErCd | the Alexandria database | PBE-GGA | relaxed" crystal_system=cubic formation_enthalpy_0k_ev_per_atom=-0.018 pbc="T T T"
La 0.000 0.000 0.000
La 0.000 3.965 3.965
La 3.965 0.000 3.965
La 3.965 3.965 0.000
Eu 1.982 1.982 5.947
Eu 1.982 5.947 1.982
Eu 5.947 1.982 1.982
Eu 5.947 5.947 5.947
Er 0.000 0.000 3.965
Er 0.000 3.965 0.000
Er 3.965 0.000 0.000
Er 3.965 3.965 3.965
Cd 1.982 1.982 1.982
Cd 1.982 5.947 5.947
Cd 5.947 1.982 5.947
Cd 5.947 5.947 1.982

=====

Record 5
12
Lattice="4.091 0.000 0.000 0.000 5.137 0.000 0.000 0.000 11.407" Properties=species:S:1:pos:R:3 comment="ZrCdSi | the Alexandria database | PBE-GGA | relaxed" crystal_system=orthorhombic e_form_raw_ev_per_atom=-0.105 pbc="T T T"
Zr 0.000 0.000 0.000
Zr 0.000 2.568 5.704
Zr 2.046 0.000 5.704
Zr 2.046 2.568 0.000
Cd 0.000 0.000 3.466
Cd 0.000 2.568 9.170
Cd 2.046 0.000 9.170
Cd 2.046 2.568 3.466
Si 0.000 0.000 7.371
Si 0.000 2.568 1.667
Si 2.046 0.000 1.667
Si 2.046 2.568 7.371

=====

Record 6
3
Lattice="4.941 0.000 0.000 -2.470 4.279 0.000 0.000 0.000 2.975" Properties=species:S:1:pos:R:3 comment="NpInPd | the Alexandria database | PBE-GGA | relaxed" crystal_system=hexagonal formation_enthalpy_0k_ev_per_atom=-0.177 pbc="T T T"
Np 0.000 0.000 0.000
In 0.000 2.853 1.488
Pd 2.470 1.426 1.488